Record 1
6
Lattice="4.280 -0.001 -0.002 2.139 3.686 0.007 0.001 2.458 7.146" Properties=species:S:1:pos:R:3 comment="TiAgPd PBE relaxed" crystal_system=monoclinic dos_ef_per_ev_fu=2.0 volume_a3_per_atom=18.778 e_above_lowest_polymorph_kcal_per_mol_atoms=7.67 ef_ev_per_atom=0.007 pbc="T T T"
Ti 1.497 1.612 3.079
Ti 3.636 2.840 1.597
Ag 1.499 4.065 7.064
Ag 3.639 5.286 5.796
Pd 5.776 4.064 1.316
Pd 3.639 2.830 4.200

Record 2
8
Lattice="7.193 0.000 0.000 0.000 7.193 0.000 3.597 3.597 2.780" Properties=species:S:1:pos:R:3 comment="Nb2RePd PBE relaxed" crystal_system=tetragonal dos_ef_per_ev_fu=5.7 volume_a3_per_atom=17.979 ef_ev_per_atom=0.435 pbc="T T T"
Re 0.000 0.000 0.000
Re 7.193 3.597 1.390
Nb 5.458 1.798 0.695
Nb 1.735 5.395 0.695
Nb 5.395 5.332 2.085
Nb 8.992 9.054 2.085
Pd 3.597 3.597 0.000
Pd 3.597 7.193 1.390

Record 3
4
Lattice="4.655 -0.026 0.010 -0.551 4.623 -0.010 -1.018 -3.222 3.202" Properties=species:S:1:pos:R:3 comment="Be2SiTe PBE relaxed" crystal_system=orthorhombic dos_ef_per_ev_fu=1.4 e_form_raw_kj_per_mol_atoms=62.3 volume_a3_per_atom=17.196 e_above_lowest_polymorph_kcal_per_mol_atoms=9.12 pbc="T T T"
Be 3.835 4.295 0.000
Be 2.322 2.600 0.000
Si 2.845 -0.475 1.606
Te 0.242 1.849 1.596

Record 4
12
Lattice="5.513 0.000 0.000 0.000 5.513 0.000 -2.757 -2.757 5.230" Properties=species:S:1:pos:R:3 comment="LiPaPb2O8 PBE relaxed" crystal_system=tetragonal dos_ef_per_ev_fu=3.8 e_form_raw_kj_per_mol_atoms=-139.2 volume_a3_per_atom=13.247 pbc="T T T"
Li 2.757 0.000 2.615
Pa 0.000 0.000 0.000
Pb 2.757 2.757 0.000
Pb 0.000 2.757 2.615
O 4.044 4.119 1.013
O 1.469 1.394 1.013
O 1.454 1.569 3.694
O -1.454 -1.569 3.694
O 4.326 1.303 1.536
O 1.187 4.210 1.536
O -1.363 1.287 4.217
O 1.363 -1.287 4.217

Record 5
6
Lattice="-5.067 4.317 -4.513 4.416 -6.220 2.545 -3.426 -1.411 2.497" Properties=species:S:1:pos:R:3 comment="HgRu2 PBE relaxed" crystal_system=orthorhombic dos_ef_per_ev_fu=2.9 volume_a3_per_atom=16.590 e_above_lowest_polymorph_kcal_per_mol_atoms=1.46 ef_ev_per_atom=0.375 pbc="T T T"
Hg -4.845 0.158 -0.563
Hg 0.769 -3.472 1.092
Ru -2.017 -2.985 1.542
Ru 1.435 -6.820 4.111
Ru -5.511 3.506 -3.582
Ru -2.059 -0.329 -1.013

Record 6
9
Lattice="4.936 0.000 0.000 2.468 4.274 0.000 0.000 0.000 6.464" Properties=species:S:1:pos:R:3 comment="TlTePO6 PBE relaxed" crystal_system=trigonal dos_ef_per_ev_fu=0.0 e_form_raw_kj_per_mol_atoms=-124.7 volume_a3_per_atom=15.151 pbc="T T T"
Tl 4.936 0.000 6.464
Te 2.468 1.425 3.232
P 4.935 2.849 3.232
O 5.757 1.705 2.201
O 4.355 4.133 4.263
O 4.114 1.705 4.263
O 6.337 2.710 4.263
O 3.534 2.710 2.201
O 5.516 4.133 2.201

Record 7
14
Lattice="-2.826 -6.802 0.530 5.474 -0.078 -4.955 2.704 2.234 6.498" Properties=species:S:1:pos:R:3 comment="Li8SnPb5 PBE relaxed" crystal_system=tetragonal dos_ef_per_ev_fu=5.1 volume_a3_per_atom=22.131 ef_ev_per_atom=-0.189 pbc="T T T"
Li 3.608 -0.875 -3.093
Li -0.439 -5.004 4.327
Li 0.306 -4.440 1.515
Li 2.828 -2.282 4.169
Li 2.510 -2.916 -1.248
Li 5.728 -2.005 1.383
Li 1.808 -1.407 1.529
Li 5.062 0.346 -0.291
Sn 4.059 -0.064 2.528
Pb 2.019 0.187 -0.878
Pb 2.957 -5.672 -2.601
Pb 3.358 -3.888 1.496
Pb -0.061 -2.284 3.514
Pb 2.371 0.081 6.128

Record 8
12
Lattice="3.442 0.000 -0.654 -0.332 10.085 -1.747 0.428 -1.700 11.635" Properties=species:S:1:pos:R:3 comment="Pm2YHo3 PBE relaxed" crystal_system=monoclinic dos_ef_per_ev_fu=9.4 volume_a3_per_atom=33.008 e_above_lowest_polymorph_kcal_per_mol_atoms=0.62 ef_ev_per_atom=0.121 pbc="T T T"
Pm 2.420 3.092 3.350
Pm 1.118 5.293 5.884
Pm 0.248 1.145 1.305
Pm 3.290 7.240 7.929
Y 2.517 -0.268 3.863
Y 1.020 8.653 5.370
Ho 2.320 6.550 2.825
Ho 3.492 0.915 8.995
Ho 1.826 4.285 0.227
Ho 1.218 1.836 6.409
Ho 1.711 4.100 9.007
Ho 0.045 7.470 0.239